Here is a relaxed structure of LaErIn from Alexandria via LeMat-Bulk. Energies are from PBE.

Results
DFT formation energy, eV per formula unit: -0.75
Energy above the lowest structure with this stoichiometry, eV per atom: 0.088
Space-group type: P3m1
Mass density, g cm⁻³: 7.5

a b c (Å): 5.319 5.319 3.790
angles (deg): 90.00 90.00 120.00
Fractional positions:
La  0.000  0.000  0.000
Er  0.333  0.667  0.544
In  0.667  0.333  0.421